# GGA-PBE Sn2PtN, relaxed
# - Uncorrected formation energy: 2.74 eV/f.u.
# - E above lowest polymorph: 620 meV per atom
data_Sn2PtN
_chemical_formula_sum 'Sn2 Pt1 N1'
_cell_length_a 4.655
_cell_length_b 4.655
_cell_length_c 4.655
_cell_angle_alpha 60.00
_cell_angle_beta 60.00
_cell_angle_gamma 60.00
_space_group_name_H-M_alt 'P 1'
_space_group_IT_number 1
_space_group_name_Hall 'P 1'
loop_
_atom_site_label
_atom_site_type_symbol
_atom_site_fract_x
_atom_site_fract_y
_atom_site_fract_z
Sn1 Sn 0.250 0.250 0.250
Sn2 Sn 0.750 0.750 0.750
Pt1 Pt 0.000 0.000 0.000
N1 N 0.500 0.500 0.500